Entry 1:
# NpHgF3

A geometry-optimized NpHgF3 structure (PBE, Alexandria).

Summary:
- M_tot: 4.00 μB per formula unit
- Calculated density: 8.02 g/cm3
- Formation energy without anion corrections: -253.2 kJ/mol of atoms
- Space group: Pm-3m, No. 221

Geometry as POSCAR:
```
NpHgF3
1.0
-1.847 3.834 1.941
-1.746 -2.600 3.475
3.927 0.647 2.458
F Hg Np
3 1 1
Direct
0.000 0.500 0.000
0.500 0.000 0.000
0.000 0.000 0.500
0.500 0.500 0.500
0.000 0.000 0.000
```

=====

Entry 2:
# NpHg2F11

A geometry-optimized NpHg2F11 structure (PBE, Alexandria).

Summary:
- M_tot: 0.18 μB per formula unit
- Calculated density: 5.37 g/cm3
- Formation energy without anion corrections: -202.6 kJ/mol of atoms
- Space group: Ibam, No. 72

Geometry as POSCAR:
```
NpHg2F11
1.0
6.977 0.000 3.637
3.084 8.145 2.594
-0.298 0.102 9.082
Np F Hg
2 22 4
Direct
0.250 0.250 0.250
0.750 0.750 0.750
0.946 0.399 0.290
0.228 0.495 0.196
0.582 0.995 0.696
0.135 0.101 0.210
0.728 0.696 0.995
0.418 0.005 0.304
0.365 0.290 0.399
0.341 0.715 0.285
0.082 0.196 0.495
0.500 0.500 0.500
0.054 0.601 0.710
0.159 0.215 0.785
0.772 0.505 0.804
0.635 0.710 0.601
0.659 0.285 0.715
0.865 0.899 0.790
0.554 0.210 0.101
0.841 0.785 0.215
0.000 0.000 0.000
0.272 0.304 0.005
0.446 0.790 0.899
0.918 0.804 0.505
0.129 0.828 0.172
0.871 0.172 0.828
0.629 0.672 0.328
0.371 0.328 0.672
```

=====

Entry 3:
# NpHg2F6

A geometry-optimized NpHg2F6 structure (PBE, Alexandria).

Summary:
- M_tot: 1.71 μB per formula unit
- Calculated density: 6.98 g/cm3
- Formation energy without anion corrections: -238.8 kJ/mol of atoms
- Space group: P-31m, No. 162

Geometry as POSCAR:
```
NpHg2F6
1.0
-0.130 3.767 -3.622
-1.582 1.009 4.879
7.037 2.032 1.861
Np F Hg
1 6 2
Direct
0.000 0.000 0.000
0.315 0.315 0.837
0.000 0.315 0.163
0.685 0.000 0.837
0.685 0.685 0.163
0.315 0.000 0.163
0.000 0.685 0.837
0.333 0.667 0.500
0.667 0.333 0.500
```

=====

Entry 4:
# NpHg3O6F2

A geometry-optimized NpHg3O6F2 structure (PBE, Alexandria).

Summary:
- M_tot: 0.96 μB per formula unit
- Calculated density: 6.76 g/cm3
- Formation energy without anion corrections: -123.8 kJ/mol of atoms
- Space group: C2/m, No. 12

Geometry as POSCAR:
```
NpHg3O6F2
1.0
5.299 0.000 0.008
0.000 6.690 0.000
-0.773 -3.345 6.735
Hg O Np F
3 6 1 2
Direct
0.500 0.500 0.500
0.500 0.000 0.500
0.000 0.500 0.000
0.599 0.832 0.665
0.401 0.168 0.335
0.260 0.165 0.927
0.260 0.762 0.927
0.740 0.835 0.073
0.740 0.238 0.073
0.500 0.000 0.000
0.817 0.354 0.707
0.183 0.646 0.293
```

=====

Entry 5:
# RbNpHgF6

A geometry-optimized RbNpHgF6 structure (PBE, Alexandria).

Summary:
- M_tot: 2.00 μB per formula unit
- Calculated density: 5.00 g/cm3
- Formation energy without anion corrections: -275.5 kJ/mol of atoms
- Space group: P1, No. 1

Geometry as POSCAR:
```
RbNpHgF6
1.0
6.717 0.085 0.131
3.423 5.746 -0.096
0.114 -0.158 5.528
F Rb Hg Np
6 1 1 1
Direct
0.401 0.131 0.837
0.005 0.584 0.714
0.235 0.556 0.252
0.188 0.150 0.392
0.448 0.532 0.712
0.661 0.113 0.379
0.045 0.968 0.989
0.691 0.627 0.184
0.326 0.339 0.542
```

=====

Entry 6:
# Rb2NpHgF8

A geometry-optimized Rb2NpHgF8 structure (PBE, Alexandria).

Summary:
- M_tot: 3.00 μB per formula unit
- Calculated density: 5.87 g/cm3
- Formation energy without anion corrections: -264.8 kJ/mol of atoms
- Space group: I-4m2, No. 119

Geometry as POSCAR:
```
Rb2NpHgF8
1.0
-0.813 3.842 -4.751
-5.270 -2.867 -1.417
0.199 3.073 6.450
F Hg Rb Np
8 1 2 1
Direct
0.567 0.642 0.732
0.911 0.835 0.268
0.165 0.089 0.732
0.358 0.835 0.268
0.567 0.089 0.732
0.911 0.433 0.268
0.358 0.433 0.268
0.165 0.642 0.732
0.500 0.500 0.000
0.750 0.250 0.500
0.000 0.000 0.000
0.250 0.750 0.500
```

=====

Question: What is the formula in the third record?
Answer: NpHg2F6